1.
# CaMnGaP | Alexandria | GGA-PBE | relaxed
# Distance to the lowest polymorph of the same formula, meV/atom: 150
# Energy of formation, meV/atom: -225
# DOS(E_F), states/eV/f.u.: 3.1
# Size of the total moment, μB/atom: 0.717
data_CaMnGaP
_chemical_formula_sum 'Ca1 Mn1 Ga1 P1'
_space_group_name_H-M_alt 'P 1 2/m 1'
_space_group_IT_number 10
_space_group_name_Hall '-P 2y'
_cell_length_a 4.5954
_cell_length_b 4.1870
_cell_length_c 4.8183
_cell_angle_alpha 90.00
_cell_angle_beta 112.01
_cell_angle_gamma 90.00
loop_
_atom_site_label
_atom_site_type_symbol
_atom_site_fract_x
_atom_site_fract_y
_atom_site_fract_z
Ca1 Ca 0.0000 0.0000 0.0000
Mn1 Mn 0.5000 0.5000 0.5000
Ga1 Ga 0.5000 0.5000 0.0000
P1 P 0.0000 0.5000 0.5000

2.
# CaMnGaP | Alexandria | GGA-PBE | relaxed
# Distance to the lowest polymorph of the same formula, meV/atom: 36
# Energy of formation, meV/atom: -339
# DOS(E_F), states/eV/f.u.: 2.2
# Size of the total moment, μB/atom: 0.359
data_CaMnGaP
_chemical_formula_sum 'Ca1 Mn1 Ga1 P1'
_space_group_name_H-M_alt 'P 3 m 1'
_space_group_IT_number 156
_space_group_name_Hall 'P 3 -2"'
_cell_length_a 3.7073
_cell_length_b 3.7073
_cell_length_c 6.3819
_cell_angle_alpha 90.00
_cell_angle_beta 90.00
_cell_angle_gamma 120.00
loop_
_atom_site_label
_atom_site_type_symbol
_atom_site_fract_x
_atom_site_fract_y
_atom_site_fract_z
Ca1 Ca 0.0000 0.0000 0.0000
Mn1 Mn 0.6667 0.3333 0.4215
Ga1 Ga 0.3333 0.6667 0.6653
P1 P 0.3333 0.6667 0.2908

3.
# CaMnGaP | Alexandria | GGA-PBE | relaxed
# Distance to the lowest polymorph of the same formula, meV/atom: 9
# Energy of formation, meV/atom: -366
# DOS(E_F), states/eV/f.u.: 2.7
# Size of the total moment, μB/atom: 0.000
data_CaMnGaP
_chemical_formula_sum 'Ca3 Mn3 Ga3 P3'
_space_group_name_H-M_alt 'R 3 m'
_space_group_IT_number 160
_space_group_name_Hall 'R 3 -2"'
_cell_length_a 3.8941
_cell_length_b 3.8941
_cell_length_c 16.3238
_cell_angle_alpha 90.00
_cell_angle_beta 90.00
_cell_angle_gamma 120.00
loop_
_atom_site_label
_atom_site_type_symbol
_atom_site_fract_x
_atom_site_fract_y
_atom_site_fract_z
Ca1 Ca 0.0000 0.0000 0.0000
Mn1 Mn 0.0000 0.0000 0.5211
Ga1 Ga 0.0000 0.0000 0.7888
P1 P 0.0000 0.0000 0.2160

4.
# CaMnGaP | Alexandria | GGA-PBE | relaxed
# Distance to the lowest polymorph of the same formula, meV/atom: 23
# Energy of formation, meV/atom: -352
# DOS(E_F), states/eV/f.u.: 2.0
# Size of the total moment, μB/atom: 0.000
data_CaMnGaP
_chemical_formula_sum 'Ca1 Mn1 Ga1 P1'
_space_group_name_H-M_alt 'P 4 m m'
_space_group_IT_number 99
_space_group_name_Hall 'P 4 -2'
_cell_length_a 2.9958
_cell_length_b 2.9958
_cell_length_c 7.1099
_cell_angle_alpha 90.00
_cell_angle_beta 90.00
_cell_angle_gamma 90.00
loop_
_atom_site_label
_atom_site_type_symbol
_atom_site_fract_x
_atom_site_fract_y
_atom_site_fract_z
Ca1 Ca 0.0000 0.0000 0.0000
Mn1 Mn 0.0000 0.0000 0.4403
Ga1 Ga 0.5000 0.5000 0.6778
P1 P 0.5000 0.5000 0.2974

5.
# CaMnGaP | Alexandria | GGA-PBE | relaxed
# Distance to the lowest polymorph of the same formula, meV/atom: 0
# Energy of formation, meV/atom: -375
# DOS(E_F), states/eV/f.u.: 2.7
# Size of the total moment, μB/atom: 0.789
data_CaMnGaP
_chemical_formula_sum 'Ca1 Mn1 Ga1 P1'
_space_group_name_H-M_alt 'P 1'
_space_group_IT_number 1
_space_group_name_Hall 'P 1'
_cell_length_a 3.7437
_cell_length_b 4.0745
_cell_length_c 6.2924
_cell_angle_alpha 90.72
_cell_angle_beta 107.29
_cell_angle_gamma 117.19
loop_
_atom_site_label
_atom_site_type_symbol
_atom_site_fract_x
_atom_site_fract_y
_atom_site_fract_z
Ca1 Ca 0.0000 0.0000 0.0000
Mn1 Mn 0.6215 0.8277 0.4185
Ga1 Ga 0.4445 0.2716 0.6234
P1 P 0.8659 0.4327 0.3003

6.
# CaMnGaP | Alexandria | GGA-PBE | relaxed
# Distance to the lowest polymorph of the same formula, meV/atom: 92
# Energy of formation, meV/atom: -283
# DOS(E_F), states/eV/f.u.: 2.4
# Size of the total moment, μB/atom: 0.146
data_CaMnGaP
_chemical_formula_sum 'Ca2 Mn2 Ga2 P2'
_space_group_name_H-M_alt 'I m m 2'
_space_group_IT_number 44
_space_group_name_Hall 'I 2 -2'
_cell_length_a 4.1533
_cell_length_b 4.2986
_cell_length_c 9.0255
_cell_angle_alpha 90.00
_cell_angle_beta 90.00
_cell_angle_gamma 90.00
loop_
_atom_site_label
_atom_site_type_symbol
_atom_site_fract_x
_atom_site_fract_y
_atom_site_fract_z
Ca1 Ca 0.0000 0.0000 0.0000
Mn1 Mn 0.0000 0.5000 0.2315
Ga1 Ga 0.0000 0.0000 0.3481
P1 P 0.0000 0.0000 0.6741

7.
# CaMnGaP | Alexandria | GGA-PBE | relaxed
# Distance to the lowest polymorph of the same formula, meV/atom: 225
# Energy of formation, meV/atom: -150
# DOS(E_F), states/eV/f.u.: 3.1
# Size of the total moment, μB/atom: 0.130
data_CaMnGaP
_chemical_formula_sum 'Ca1 Mn1 Ga1 P1'
_space_group_name_H-M_alt 'P 4 m m'
_space_group_IT_number 99
_space_group_name_Hall 'P 4 -2'
_cell_length_a 3.0922
_cell_length_b 3.0922
_cell_length_c 7.1725
_cell_angle_alpha 90.00
_cell_angle_beta 90.00
_cell_angle_gamma 90.00
loop_
_atom_site_label
_atom_site_type_symbol
_atom_site_fract_x
_atom_site_fract_y
_atom_site_fract_z
Ca1 Ca 0.0000 0.0000 0.0000
Mn1 Mn 0.5000 0.5000 0.3128
Ga1 Ga 0.5000 0.5000 0.6673
P1 P 0.0000 0.0000 0.4217

8.
# CaMnGaP | Alexandria | GGA-PBE | relaxed
# Distance to the lowest polymorph of the same formula, meV/atom: 45
# Energy of formation, meV/atom: -330
# DOS(E_F), states/eV/f.u.: 1.5
# Size of the total moment, μB/atom: 0.730
data_CaMnGaP
_chemical_formula_sum 'Ca1 Mn1 Ga1 P1'
_space_group_name_H-M_alt 'P 3 m 1'
_space_group_IT_number 156
_space_group_name_Hall 'P 3 -2"'
_cell_length_a 4.7063
_cell_length_b 4.7063
_cell_length_c 4.4961
_cell_angle_alpha 90.00
_cell_angle_beta 90.00
_cell_angle_gamma 120.00
loop_
_atom_site_label
_atom_site_type_symbol
_atom_site_fract_x
_atom_site_fract_y
_atom_site_fract_z
Ca1 Ca 0.0000 0.0000 0.0000
Mn1 Mn 0.3333 0.6667 0.5011
Ga1 Ga 0.6667 0.3333 0.5009
P1 P 0.3333 0.6667 0.0011

- energy of formation of number 4 (CaMnGaP)?
  -352 meV/atom

Copy entry 2 word for word.
# CaMnGaP | Alexandria | GGA-PBE | relaxed
# Distance to the lowest polymorph of the same formula, meV/atom: 36
# Energy of formation, meV/atom: -339
# DOS(E_F), states/eV/f.u.: 2.2
# Size of the total moment, μB/atom: 0.359
data_CaMnGaP
_chemical_formula_sum 'Ca1 Mn1 Ga1 P1'
_space_group_name_H-M_alt 'P 3 m 1'
_space_group_IT_number 156
_space_group_name_Hall 'P 3 -2"'
_cell_length_a 3.7073
_cell_length_b 3.7073
_cell_length_c 6.3819
_cell_angle_alpha 90.00
_cell_angle_beta 90.00
_cell_angle_gamma 120.00
loop_
_atom_site_label
_atom_site_type_symbol
_atom_site_fract_x
_atom_site_fract_y
_atom_site_fract_z
Ca1 Ca 0.0000 0.0000 0.0000
Mn1 Mn 0.6667 0.3333 0.4215
Ga1 Ga 0.3333 0.6667 0.6653
P1 P 0.3333 0.6667 0.2908

- Which value of DOS(E_F) does entry 1 give?
  3.1 states/eV/f.u.